First-principles (PBE) data for an optimized crystal structure of La4ZnP, as listed in Alexandria via LeMat-Bulk.

ΔE_f (eV/atom): 0.318

a b c (Å): 6.314 6.314 6.314
angles (deg): 60.00 60.00 60.00
Atoms (fractional coordinates):
La1 0.124 0.124 0.124
La2 0.124 0.124 0.629
La3 0.124 0.629 0.124
La4 0.629 0.124 0.124
Zn1 0.500 0.500 0.500
P1 0.750 0.750 0.750


First-principles (PBE) data for an optimized crystal structure of La2ZnP, as listed in Alexandria via LeMat-Bulk.

Distance to the lowest polymorph of the same formula (kJ per mole of atoms): 23.22
ΔE_f (eV/atom): -0.663

a b c (Å): 7.335 7.335 7.335
angles (deg): 90.00 90.00 90.00
Atoms (fractional coordinates):
La1 0.250 0.250 0.250
La2 0.250 0.250 0.750
La3 0.250 0.750 0.250
La4 0.250 0.750 0.750
La5 0.750 0.250 0.250
La6 0.750 0.250 0.750
La7 0.750 0.750 0.250
La8 0.750 0.750 0.750
Zn1 0.000 0.000 0.000
Zn2 0.000 0.500 0.500
Zn3 0.500 0.000 0.500
Zn4 0.500 0.500 0.000
P1 0.000 0.000 0.500
P2 0.000 0.500 0.000
P3 0.500 0.000 0.000
P4 0.500 0.500 0.500


no.,VASP energy (eV per atom)
1,-4.0805
2,-4.7977